Density functional theory data (GGA-PBEsol) for a relaxed structure of Fe2TcRuPb.

Properties
DFT formation energy   2.52 eV per atom
DOS at the Fermi energy   7.90 states/eV/cell
Total magnetization   9.6 μB/f.u.

Cell and atoms, written as CIF:
```
data_Fe2TcRuPb
_chemical_formula_sum 'Fe2 Tc1 Ru1 Pb1'
_space_group_name_H-M_alt 'P 4/m m m'
_space_group_IT_number 123
_space_group_name_Hall '-P 4 2'
_cell_length_a 4.6643
_cell_length_b 4.6643
_cell_length_c 4.8751
_cell_angle_alpha 90.00
_cell_angle_beta 90.00
_cell_angle_gamma 90.00
loop_
_atom_site_label
_atom_site_fract_x
_atom_site_fract_y
_atom_site_fract_z
Fe1 0.0000 0.5000 0.0000
Tc1 0.0000 0.0000 0.5000
Ru1 0.5000 0.5000 0.5000
Pb1 0.5000 0.5000 0.0000
```